[1]
Entry from Alexandria via LeMat-Bulk: CaCuP2S6 after structural relaxation (PBE).

Unit cell a=12.783 b=10.828 c=7.464 alpha=90.00 beta=118.03 gamma=90.00
Space group C2/c (No. 15)
Inequivalent atoms, fractional coordinates:
Ca  0.000  0.149  0.250 x4
Cu  0.000  0.216  0.750 x4
P  0.204  0.434  0.171 x8
S  0.112  0.070  0.669 x8
S  0.135  0.260  0.076 x8
S  0.147  0.439  0.447 x8

As for the density of states at the Fermi level: 10.702 states/eV/cell. The uncorrected formation energy comes out at -479 meV/atom. The total magnetic moment comes out at 0.00 μB/f.u.

[2]
Entry from Alexandria via LeMat-Bulk: TlCo2Cl after structural relaxation (PBE).

Unit cell a=3.099 b=3.099 c=8.004 alpha=90.00 beta=90.00 gamma=90.00
Space group P4mm (No. 99)
Inequivalent atoms, fractional coordinates:
Tl  0.000  0.000  0.000 x1
Co  0.000  0.000  0.598 x1
Co  0.500  0.500  0.734 x1
Cl  0.500  0.500  0.422 x1

As for the relative energy among the computed polymorphs: 0.035 eV/atom. As for the density of states at the Fermi level: 5.244 states/eV/cell. The uncorrected formation energy comes out at 271 meV/atom. The total magnetic moment comes out at 3.89 μB/f.u.

[3]
Entry from Alexandria via LeMat-Bulk: Li3Cd2Pd2 after structural relaxation (PBE).

Unit cell a=7.903 b=4.507 c=6.984 alpha=90.00 beta=111.21 gamma=90.00
Space group C2/m (No. 12)
Inequivalent atoms, fractional coordinates:
Li  0.000  0.000  0.000 x2
Li  0.142  0.000  0.428 x4
Cd  0.215  0.500  0.146 x4
Pd  0.071  0.500  0.709 x4

As for the relative energy among the computed polymorphs: 0.000 eV/atom. As for the density of states at the Fermi level: 4.223 states/eV/cell. The calculation puts the formation energy at -0.39 eV/atom. The total magnetic moment comes out at 0.00 μB/f.u.

[4]
Entry from Alexandria via LeMat-Bulk: LaTbNbN3 after structural relaxation (PBE).

Unit cell a=6.887 b=3.408 c=9.451 alpha=90.00 beta=94.70 gamma=90.00
Space group P2_1/m (No. 11)
Inequivalent atoms, fractional coordinates:
La  0.184  0.250  0.230 x2
Tb  0.353  0.750  0.879 x2
Nb  0.137  0.250  0.574 x2
N  0.136  0.250  0.786 x2
N  0.183  0.750  0.455 x2
N  0.387  0.750  0.120 x2

As for the density of states at the Fermi level: 6.588 states/eV/cell. The uncorrected formation energy comes out at -1094 meV/atom. The total magnetic moment comes out at 0.00 μB/f.u.

[5]
Entry from Alexandria via LeMat-Bulk: Li2LaMn after structural relaxation (PBE).

Unit cell a=9.547 b=3.994 c=5.264 alpha=90.00 beta=116.69 gamma=90.00
Space group Cm (No. 8)
Inequivalent atoms, fractional coordinates:
Li  0.000  0.000  0.000 x2
Li  0.224  0.500  0.194 x2
La  0.213  0.000  0.677 x2
Mn  0.445  0.000  0.358 x2

As for the relative energy among the computed polymorphs: 0.095 eV/atom. As for the density of states at the Fermi level: 7.674 states/eV/cell. The calculation puts the formation energy at 0.34 eV/atom. The total magnetic moment comes out at 3.39 μB/f.u.

[6]
Entry from Alexandria via LeMat-Bulk: Y2Ni3Ge4Ru after structural relaxation (PBE).

Unit cell a=4.080 b=4.080 c=9.921 alpha=90.00 beta=90.00 gamma=90.00
Space group P-4m2 (No. 115)
Inequivalent atoms, fractional coordinates:
Y  0.000  0.500  0.242 x2
Ni  0.000  0.500  0.874 x2
Ni  0.500  0.500  0.500 x1
Ge  0.000  0.000  0.000 x1
Ge  0.000  0.500  0.637 x2
Ge  0.500  0.500  0.000 x1
Ru  0.000  0.000  0.500 x1

As for the density of states at the Fermi level: 3.807 states/eV/cell. The calculation puts the formation energy at -0.69 eV/atom. The total magnetic moment comes out at 0.00 μB/f.u.

[7]
Entry from Alexandria via LeMat-Bulk: GeAsP after structural relaxation (PBE).

Unit cell a=6.329 b=6.385 c=6.304 alpha=90.00 beta=106.56 gamma=90.00
Space group P2_1/c (No. 14)
Inequivalent atoms, fractional coordinates:
Ge  0.236  0.019  0.248 x4
As  0.335  0.614  0.165 x4
P  0.158  0.106  0.841 x4

As for the relative energy among the computed polymorphs: 0.137 eV/atom. As for the density of states at the Fermi level: 4.833 states/eV/cell. The calculation puts the formation energy at 0.14 eV/atom. The total magnetic moment comes out at 0.00 μB/f.u.

[8]
Entry from Alexandria via LeMat-Bulk: Tb2Dy6Tm3Tl after structural relaxation (PBE).

Unit cell a=6.060 b=10.506 c=11.609 alpha=90.00 beta=100.08 gamma=90.00
Space group C2/m (No. 12)
Inequivalent atoms, fractional coordinates:
Tb  0.000  0.166  0.000 x4
Dy  0.246  0.500  0.749 x4
Dy  0.248  0.335  0.250 x8
Tm  0.000  0.000  0.500 x2
Tm  0.000  0.333  0.500 x4
Tl  0.000  0.500  0.000 x2

As for the density of states at the Fermi level: 30.242 states/eV/cell. The calculation puts the formation energy at -0.02 eV/atom. The total magnetic moment comes out at 0.00 μB/f.u.

[9]
Entry from Alexandria via LeMat-Bulk: CsSrLiCo2 after structural relaxation (PBE).

Unit cell a=5.213 b=5.213 c=5.042 alpha=90.00 beta=90.00 gamma=90.00
Space group P4/mmm (No. 123)
Inequivalent atoms, fractional coordinates:
Cs  0.000  0.000  0.000 x1
Sr  0.500  0.500  0.500 x1
Li  0.000  0.000  0.500 x1
Co  0.000  0.500  0.000 x2

As for the density of states at the Fermi level: 4.467 states/eV/cell. The calculation puts the formation energy at 1.44 eV/atom. The total magnetic moment comes out at 2.16 μB/f.u.

[10]
Entry from Alexandria via LeMat-Bulk: Na3IrF6 after structural relaxation (PBE).

Unit cell a=10.037 b=5.866 c=5.700 alpha=90.00 beta=124.37 gamma=90.00
Space group C2/m (No. 12)
Inequivalent atoms, fractional coordinates:
Na  0.000  0.000  0.000 x2
Na  0.249  0.000  0.711 x4
Ir  0.000  0.500  0.500 x2
F  0.076  0.260  0.343 x8
F  0.227  0.500  0.866 x4

As for the relative energy among the computed polymorphs: 0.000 eV/atom. As for the density of states at the Fermi level: 0.000 states/eV/cell. The uncorrected formation energy comes out at -2223 meV/atom. The total magnetic moment comes out at 0.18 μB/f.u.

[11]
Entry from Alexandria via LeMat-Bulk: CsMg3Zr after structural relaxation (PBE).

Unit cell a=5.960 b=5.960 c=5.960 alpha=90.00 beta=90.00 gamma=90.00
Space group Pm-3m (No. 221)
Inequivalent atoms, fractional coordinates:
Cs  0.000  0.000  0.000 x1
Mg  0.000  0.500  0.500 x3
Zr  0.500  0.500  0.500 x1

As for the relative energy among the computed polymorphs: 0.000 eV/atom. As for the density of states at the Fermi level: 5.579 states/eV/cell. The calculation puts the formation energy at 0.79 eV/atom. The total magnetic moment comes out at 4.01 μB/f.u.

[12]
Entry from Alexandria via LeMat-Bulk: CdAs2RhBr after structural relaxation (PBE).

Unit cell a=4.789 b=4.789 c=5.392 alpha=90.00 beta=90.00 gamma=90.00
Space group P4/mmm (No. 123)
Inequivalent atoms, fractional coordinates:
Cd  0.000  0.000  0.000 x1
As  0.000  0.500  0.500 x2
Rh  0.500  0.500  0.500 x1
Br  0.500  0.500  0.000 x1

As for the relative energy among the computed polymorphs: 0.000 eV/atom. As for the density of states at the Fermi level: 4.438 states/eV/cell. The uncorrected formation energy comes out at 254 meV/atom. The total magnetic moment comes out at 0.00 μB/f.u.

[13]
Entry from Alexandria via LeMat-Bulk: Ho2ErAu3 after structural relaxation (PBE).

Unit cell a=3.558 b=3.558 c=10.843 alpha=90.00 beta=90.00 gamma=90.00
Space group P4/mmm (No. 123)
Inequivalent atoms, fractional coordinates:
Ho  0.000  0.000  0.167 x2
Er  0.000  0.000  0.500 x1
Au  0.500  0.500  0.000 x1
Au  0.500  0.500  0.335 x2

As for the relative energy among the computed polymorphs: 0.000 eV/atom. As for the density of states at the Fermi level: 1.856 states/eV/cell. The calculation puts the formation energy at -0.88 eV/atom. The total magnetic moment comes out at 0.00 μB/f.u.

[14]
Entry from Alexandria via LeMat-Bulk: AgBiTeRu2 after structural relaxation (PBE).

Unit cell a=5.054 b=5.054 c=5.210 alpha=90.00 beta=90.00 gamma=90.00
Space group P4/mmm (No. 123)
Inequivalent atoms, fractional coordinates:
Ag  0.000  0.000  0.000 x1
Bi  0.000  0.000  0.500 x1
Te  0.500  0.500  0.000 x1
Ru  0.000  0.500  0.500 x2

As for the density of states at the Fermi level: 6.047 states/eV/cell. The uncorrected formation energy comes out at 1476 meV/atom. The total magnetic moment comes out at 2.09 μB/f.u.

[15]
Entry from Alexandria via LeMat-Bulk: Cd3H12Ir5 after structural relaxation (PBE).

Unit cell a=11.464 b=11.464 c=11.464 alpha=90.00 beta=90.00 gamma=90.00
Space group Ia-3d (No. 230)
Inequivalent atoms, fractional coordinates:
Cd  0.000  0.250  0.125 x24
H  0.048  0.057  0.636 x96
Ir  0.000  0.000  0.000 x16
Ir  0.000  0.250  0.375 x24

As for the density of states at the Fermi level: 39.410 states/eV/cell. The total energy is -658.2 eV per cell. The total magnetic moment comes out at 0.00 μB/f.u.

[16]
Entry from Alexandria via LeMat-Bulk: Ba2SeBr after structural relaxation (PBE).

Unit cell a=7.486 b=7.486 c=14.803 alpha=90.00 beta=90.00 gamma=90.00
Space group I-42d (No. 122)
Inequivalent atoms, fractional coordinates:
Ba  0.229  0.250  0.125 x8
Se  0.000  0.000  0.000 x4
Br  0.000  0.000  0.500 x4

As for the relative energy among the computed polymorphs: 0.247 eV/atom. As for the density of states at the Fermi level: 13.564 states/eV/cell. The uncorrected formation energy comes out at -1594 meV/atom. The total magnetic moment comes out at 0.83 μB/f.u.

[17]
Entry from Alexandria via LeMat-Bulk: PmPr3Te4 after structural relaxation (PBE).

Unit cell a=4.4285 b=4.4285 c=30.7002 alpha=90.00 beta=90.00 gamma=120.00
Space group P6_3/mmc (No. 194)
Inequivalent atoms, fractional coordinates:
Pm  0.3333  0.6667  0.2500 x2
Pr  0.0000  0.0000  0.0000 x2
Pr  0.3333  0.6667  0.6248 x4
Te  0.0000  0.0000  0.1879 x4
Te  0.3333  0.6667  0.0627 x4

As for the relative energy among the computed polymorphs: 0.013 eV/atom. As for the density of states at the Fermi level: 10.412 states/eV/cell. The uncorrected formation energy comes out at -1418 meV/atom. The total magnetic moment comes out at 0.00 μB/f.u.

[18]
Entry from Alexandria via LeMat-Bulk: Mg2CuSe2 after structural relaxation (PBE).

Unit cell a=17.366 b=4.009 c=6.766 alpha=90.00 beta=95.48 gamma=90.00
Space group Cm (No. 8)
Inequivalent atoms, fractional coordinates:
Mg  0.000  0.000  0.000 x2
Mg  0.114  0.500  0.520 x2
Mg  0.244  0.000  0.949 x2
Mg  0.362  0.000  0.362 x2
Cu  0.261  0.500  0.212 x2
Cu  0.343  0.500  0.938 x2
Se  0.000  0.500  0.248 x2
Se  0.108  0.000  0.766 x2
Se  0.204  0.000  0.340 x2
Se  0.384  0.000  0.762 x2

As for the relative energy among the computed polymorphs: 0.000 eV/atom. The uncorrected formation energy comes out at -696 meV/atom. The total magnetic moment comes out at 0.00 μB/f.u.

[19]
Entry from Alexandria via LeMat-Bulk: Tb9Er2Tm after structural relaxation (PBE).

Unit cell a=11.1778 b=11.1778 c=3.4762 alpha=90.00 beta=90.00 gamma=120.00
Space group P6/mmm (No. 191)
Inequivalent atoms, fractional coordinates:
Tb  0.0000  0.5000  0.0000 x3
Tb  0.1752  0.3505  0.5000 x6
Er  0.3333  0.6667  0.0000 x2
Tm  0.0000  0.0000  0.0000 x1

As for the relative energy among the computed polymorphs: 0.032 eV/atom. As for the density of states at the Fermi level: 17.552 states/eV/cell. The calculation puts the formation energy at 0.05 eV/atom. The total magnetic moment comes out at 0.00 μB/f.u.

[20]
Entry from Alexandria via LeMat-Bulk: SnPdN after structural relaxation (PBE).

Unit cell a=5.686 b=3.281 c=5.524 alpha=90.00 beta=110.16 gamma=90.00
Space group Cm (No. 8)
Inequivalent atoms, fractional coordinates:
Sn  0.000  0.000  0.000 x2
Pd  0.034  0.500  0.608 x2
N  0.397  0.000  0.191 x2

As for the relative energy among the computed polymorphs: 0.000 eV/atom. As for the density of states at the Fermi level: 2.287 states/eV/cell. The uncorrected formation energy comes out at 220 meV/atom. The total magnetic moment comes out at 0.00 μB/f.u.